Record 1
The following is a GGA-PBE calculation of a relaxed ErZn3Ru crystal, from Alexandria via LeMat-Bulk.

Results
**SG**: No. 62
**Electronic total energy**: -3.664 eV/atom

Unit cell a=5.6157 b=7.9140 c=8.0939 alpha=90.00 beta=90.00 gamma=90.00
Closest atoms and distances in Å follow each position.
Fractional positions:
Er 0.2586 0.3698 0.7500  2 Ru 2.70, 3 Zn 2.96-2.99
Er 0.2414 0.8698 0.2500  2 Ru 2.70, 3 Zn 2.96-2.99
Er 0.7414 0.6302 0.2500  2 Ru 2.70, 3 Zn 2.96-2.99
Er 0.7586 0.1301 0.7500  2 Ru 2.70, 3 Zn 2.96-2.99
Zn 0.6179 0.3134 0.0679  2 Ru 2.63-2.66, 2 Zn 2.72-2.77
Zn 0.8821 0.8134 0.5679  2 Ru 2.63-2.66, 2 Zn 2.72-2.77
Zn 0.8821 0.8134 0.9321  2 Ru 2.63-2.66, 2 Zn 2.72-2.77
Zn 0.3821 0.6866 0.5679  2 Ru 2.63-2.66, 2 Zn 2.72-2.77
Zn 0.3821 0.6866 0.9321  2 Ru 2.63-2.66, 2 Zn 2.72-2.77
Zn 0.1179 0.1866 0.4321  2 Ru 2.63-2.66, 2 Zn 2.72-2.77
Zn 0.1179 0.1866 0.0679  2 Ru 2.63-2.66, 2 Zn 2.72-2.77
Zn 0.6179 0.3134 0.4321  2 Ru 2.63-2.66, 2 Zn 2.72-2.77
Zn 0.2303 0.9620 0.7500  2 Ru 2.55, 4 Zn 2.72-2.77
Zn 0.2697 0.4620 0.2500  2 Ru 2.55, 4 Zn 2.72-2.77
Zn 0.7697 0.0380 0.2500  2 Ru 2.55, 4 Zn 2.72-2.77
Zn 0.7303 0.5380 0.7500  2 Ru 2.55, 4 Zn 2.72-2.77
Ru 0.0000 0.5000 0.0000  6 Zn 2.55-2.66, 2 Er 2.70
Ru 0.5000 0.0000 0.5000  6 Zn 2.55-2.66, 2 Er 2.70
Ru 0.5000 0.0000 0.0000  6 Zn 2.55-2.66, 2 Er 2.70
Ru 0.0000 0.5000 0.5000  6 Zn 2.55-2.66, 2 Er 2.70


Record 2
The following is a GGA-PBE calculation of a relaxed ErZrZnRu crystal, from Alexandria via LeMat-Bulk.

Results
**SG**: No. 216
**Electronic total energy**: -6.284 eV/atom

Unit cell a=4.7796 b=4.7796 c=4.7796 alpha=60.00 beta=60.00 gamma=60.00
Closest atoms and distances in Å follow each position.
Fractional positions:
Ru 0.7500 0.7500 0.7500  4 Zr 2.93, 4 Er 2.93
Zn 0.2500 0.2500 0.2500  4 Zr 2.93, 4 Er 2.93
Zr 0.0000 0.0000 0.0000  4 Ru 2.93, 4 Zn 2.93
Er 0.5000 0.5000 0.5000  4 Zn 2.93, 4 Ru 2.93


Record 3
The following is a GGA-PBE calculation of a relaxed ErZr3Ru4 crystal, from Alexandria via LeMat-Bulk.

Results
**SG**: No. 166
**Electronic total energy**: -9.026 eV/atom

Unit cell a=4.6586 b=4.6586 c=8.1022 alpha=73.29 beta=73.29 gamma=60.00
Closest atoms and distances in Å follow each position.
Fractional positions:
Ru 0.8727 0.8727 0.3820  7 Zr 2.80-2.87, 1 Er 2.92
Ru 0.3778 0.3778 0.8667  5 Zr 2.80-2.94, 3 Er 2.88
Ru 0.1273 0.1273 0.6180  7 Zr 2.80-2.87, 1 Er 2.92
Ru 0.6222 0.6222 0.1333  5 Zr 2.80-2.94, 3 Er 2.88
Zr 0.2496 0.2496 0.2512  8 Ru 2.80-2.94
Zr 0.7504 0.7504 0.7488  8 Ru 2.80-2.94
Zr 0.5000 0.5000 0.5000  8 Ru 2.80-2.84
Er 0.0000 0.0000 0.0000  8 Ru 2.88-2.92


Record 4
The following is a GGA-PBE calculation of a relaxed Er4ZrRu5 crystal, from Alexandria via LeMat-Bulk.

Results
**SG**: No. 123
**Electronic total energy**: -7.773 eV/atom

Unit cell a=3.3438 b=3.3438 c=16.8079 alpha=90.00 beta=90.00 gamma=90.00
Closest atoms and distances in Å follow each position.
Fractional positions:
Er 0.0000 0.0000 0.1991  8 Ru 2.89-2.97
Er 0.0000 0.0000 0.3994  8 Ru 2.91-2.92
Er 0.0000 0.0000 0.6006  8 Ru 2.91-2.92
Er 0.0000 0.0000 0.8009  8 Ru 2.89-2.97
Zr 0.0000 0.0000 0.0000  8 Ru 2.83
Ru 0.5000 0.5000 0.0927  4 Zr 2.83, 4 Er 2.97, 1 Ru 3.12
Ru 0.5000 0.5000 0.2977  8 Er 2.89-2.92
Ru 0.5000 0.5000 0.5000  8 Er 2.91
Ru 0.5000 0.5000 0.7023  8 Er 2.89-2.92
Ru 0.5000 0.5000 0.9073  4 Zr 2.83, 4 Er 2.97, 1 Ru 3.12


Record 5
The following is a GGA-PBE calculation of a relaxed Er2ZrRu3 crystal, from Alexandria via LeMat-Bulk.

Results
**SG**: No. 164
**Electronic total energy**: -8.072 eV/atom

Unit cell a=4.7100 b=4.7100 c=11.5955 alpha=90.00 beta=90.00 gamma=120.00
Closest atoms and distances in Å follow each position.
Fractional positions:
Er 0.0000 0.0000 0.5000  8 Ru 2.82-2.88
Er 0.3333 0.6667 0.1679  8 Ru 2.86-3.00
Er 0.6667 0.3333 0.8321  8 Ru 2.86-3.00
Er 0.0000 0.0000 0.0000  8 Ru 2.91-2.97
Zr 0.3333 0.6667 0.6658  8 Ru 2.83-2.89
Zr 0.6667 0.3333 0.3342  8 Ru 2.83-2.89
Ru 0.3333 0.6667 0.4174  4 Zr 2.88-2.89, 4 Er 2.88-2.89
Ru 0.6667 0.3333 0.0905  1 Zr 2.83, 7 Er 2.86-3.00
Ru 0.0000 0.0000 0.7435  5 Er 2.82-2.97, 3 Zr 2.86
Ru 0.0000 0.0000 0.2565  5 Er 2.82-2.97, 3 Zr 2.86
Ru 0.3333 0.6667 0.9095  1 Zr 2.83, 7 Er 2.86-3.00
Ru 0.6667 0.3333 0.5826  4 Zr 2.88-2.89, 4 Er 2.88-2.89


Record 6
The following is a GGA-PBE calculation of a relaxed Er5ZrRu6 crystal, from Alexandria via LeMat-Bulk.

Results
**SG**: No. 12
**Electronic total energy**: -7.690 eV/atom

Unit cell a=4.7599 b=8.1908 c=8.1908 alpha=119.90 beta=106.81 gamma=106.81
Closest atoms and distances in Å follow each position.
Fractional positions:
Ru 0.2448 0.0820 0.4072  1 Zr 2.83, 7 Er 2.87-2.96
Ru 0.7552 0.5928 0.9180  1 Zr 2.83, 7 Er 2.87-2.96
Ru 0.7397 0.2396 0.2396  6 Er 2.86-2.95, 2 Zr 2.87-2.88
Ru 0.2603 0.7604 0.7604  6 Er 2.86-2.95, 2 Zr 2.87-2.88
Ru 0.2448 0.4072 0.0820  1 Zr 2.83, 7 Er 2.87-2.96
Ru 0.7552 0.9180 0.5928  1 Zr 2.83, 7 Er 2.87-2.96
Zr 0.0000 0.0000 0.0000  8 Ru 2.83-2.88
Er 0.5000 0.1674 0.8326  8 Ru 2.86-2.96
Er 0.0000 0.3340 0.6660  8 Ru 2.93-2.94
Er 0.5000 0.5000 0.5000  8 Ru 2.87-2.95
Er 0.0000 0.6660 0.3340  8 Ru 2.93-2.94
Er 0.5000 0.8326 0.1674  8 Ru 2.86-2.96


Record 7
The following is a GGA-PBE calculation of a relaxed ErZrRu crystal, from Alexandria via LeMat-Bulk.

Results
**Offset from the most stable computed form**: 0.060 eV per atom
**SG**: No. 70
**Electronic total energy**: -7.710 eV/atom

Unit cell a=6.5677 b=6.5677 c=7.9925 alpha=113.40 beta=113.35 gamma=91.97
Closest atoms and distances in Å follow each position.
Fractional positions:
Er 0.1647 0.0895 0.2540  4 Ru 2.86-2.93
Er 0.1603 0.5856 0.2460  4 Ru 2.86-2.93
Er 0.4144 0.8393 0.7540  4 Ru 2.86-2.93
Er 0.9105 0.8358 0.7460  4 Ru 2.86-2.93
Zr 0.6656 0.0904 0.2558  4 Ru 2.68-2.90
Zr 0.4153 0.3402 0.7558  4 Ru 2.68-2.90
Zr 0.6594 0.5847 0.2442  4 Ru 2.68-2.90
Zr 0.9096 0.3348 0.7442  4 Ru 2.68-2.90
Ru 0.5521 0.9771 0.5000  4 Zr 2.68-2.90, 4 Er 2.86-2.93
Ru 0.7729 0.6979 0.0000  4 Zr 2.68-2.90, 4 Er 2.86-2.93
Ru 0.0229 0.4480 0.5000  4 Zr 2.68-2.90, 4 Er 2.86-2.93
Ru 0.3020 0.2271 0.0000  4 Zr 2.68-2.90, 4 Er 2.86-2.93


Record 8
The following is a GGA-PBE calculation of a relaxed Er2ZrRu3 crystal, from Alexandria via LeMat-Bulk.

Results
**SG**: No. 164
**Electronic total energy**: -8.071 eV/atom

Unit cell a=4.7037 b=4.7037 c=5.8103 alpha=90.00 beta=90.00 gamma=120.00
Closest atoms and distances in Å follow each position.
Fractional positions:
Er 0.6667 0.3333 0.3332  8 Ru 2.84-2.97
Er 0.3333 0.6667 0.6668  8 Ru 2.84-2.97
Zr 0.0000 0.0000 0.0000  8 Ru 2.86-2.91
Ru 0.0000 0.0000 0.5000  6 Er 2.88, 2 Zr 2.91
Ru 0.6667 0.3333 0.8437  5 Er 2.84-2.97, 3 Zr 2.86
Ru 0.3333 0.6667 0.1563  5 Er 2.84-2.97, 3 Zr 2.86


no.,ΔE_f (eV per atom),V (Å³ per cell)
1,-0.13,360
2,-0.37,77
3,-0.61,144
4,-0.46,188
5,-0.49,223
6,-0.44,226
7,-0.25,283
8,-0.49,111